Li2AlFe: optimized geometry, PBE.

Results
ΔE_f: 0.127 eV per atom
Space-group type: Imm2 (44)
E_tot: -3.881 eV/atom

```
Li2AlFe
1.0
5.033 0.018 0.029
2.237 4.508 -0.029
-3.070 -3.170 2.420
Li Al Fe
2 1 1
Cartesian
7.259 4.520 0.000
2.821 -0.431 1.225
3.614 2.250 0.000
1.410 1.807 1.195
```